Density functional theory data (SCAN) for a crystal of ScP2Ru relaxed with PBEsol.

Results
V	58.8	Å³/cell
DFT formation energy	-0.59	eV per atom
E_tot	-0.6637	Ha/atom
crystal system	tetragonal
energy above the lowest structure with this stoichiometry	73	meV/atom

Structure (CIF):
```
data_ScP2Ru
_cell_length_a 3.296
_cell_length_b 3.296
_cell_length_c 5.409
_cell_angle_alpha 90.00
_cell_angle_beta 90.00
_cell_angle_gamma 90.00
_symmetry_space_group_name_H-M 'P 1'
_symmetry_Int_Tables_number 1
_symmetry_space_group_name_Hall 'P 1'
loop_
_atom_site_label
_atom_site_type_symbol
_atom_site_fract_x
_atom_site_fract_y
_atom_site_fract_z
_atom_site_occupancy
P1 P 0.000 0.000 0.986 1
P2 P 0.500 0.500 0.284 1
Ru1 Ru 0.000 0.000 0.436 1
Sc1 Sc 0.500 0.500 0.794 1
```